# 1
# Ba2AgRh

Crystalline Ba2AgRh at its relaxed geometry (GGA-PBE, the Alexandria database).

```
data_Ba2AgRh
_chemical_formula_sum 'Ba2 Ag1 Rh1'
_space_group_name_H-M_alt 'P 1'
_space_group_IT_number 1
_space_group_name_Hall 'P 1'
_cell_length_a 4.6761
_cell_length_b 4.6376
_cell_length_c 6.4878
_cell_angle_alpha 90.00
_cell_angle_beta 90.00
_cell_angle_gamma 90.00
loop_
_atom_site_label
_atom_site_fract_x
_atom_site_fract_y
_atom_site_fract_z
Ag1 0.5000 0.5000 0.8737
Ba1 0.0000 0.0000 0.8595
Rh1 0.0000 0.0000 0.3937
Ba2 0.5000 0.5000 0.3730
```

Summary:
D(E_F) = 3.61 states/eV/f.u.
Calculated formation energy = 0.1 eV/f.u.

***

# 2
# BaAgRh2

Crystalline BaAgRh2 at its relaxed geometry (GGA-PBE, the Alexandria database).

```
data_BaAgRh2
_chemical_formula_sum 'Ba1 Ag1 Rh2'
_space_group_name_H-M_alt 'P 1'
_space_group_IT_number 1
_space_group_name_Hall 'P 1'
_cell_length_a 3.0656
_cell_length_b 4.1177
_cell_length_c 6.6487
_cell_angle_alpha 90.00
_cell_angle_beta 90.00
_cell_angle_gamma 90.00
loop_
_atom_site_label
_atom_site_fract_x
_atom_site_fract_y
_atom_site_fract_z
Rh1 0.0000 0.0000 0.8055
Ag1 0.5000 0.5000 0.0000
Ba1 0.5000 0.5000 0.5000
Rh2 0.0000 0.0000 0.1945
```

Summary:
D(E_F) = 6.48 states/eV/f.u.
Calculated formation energy = 1.4 eV/f.u.

***

# 3
# Ba6Ag3Rh

Crystalline Ba6Ag3Rh at its relaxed geometry (GGA-PBE, the Alexandria database).

```
data_Ba6Ag3Rh
_chemical_formula_sum 'Ba12 Ag6 Rh2'
_space_group_name_H-M_alt 'P 1'
_space_group_IT_number 1
_space_group_name_Hall 'P 1'
_cell_length_a 8.0121
_cell_length_b 8.9529
_cell_length_c 11.9041
_cell_angle_alpha 90.00
_cell_angle_beta 87.43
_cell_angle_gamma 90.00
loop_
_atom_site_label
_atom_site_fract_x
_atom_site_fract_y
_atom_site_fract_z
Rh1 0.0000 0.0000 0.0000
Ba1 0.8435 0.6961 0.9296
Ag1 0.4476 0.1105 0.2417
Ba2 0.8162 0.6687 0.5616
Ba3 0.8534 0.9533 0.2402
Ba4 0.1838 0.3313 0.4384
Ag2 0.9476 0.3895 0.7417
Ba5 0.6565 0.1961 0.5704
Ba6 0.3534 0.5467 0.7402
Ag3 0.0524 0.6105 0.2583
Ag4 0.0000 0.0000 0.5000
Ba7 0.1565 0.3039 0.0704
Ba8 0.1466 0.0467 0.7598
Rh2 0.5000 0.5000 0.5000
Ba9 0.3435 0.8039 0.4296
Ag5 0.5000 0.5000 0.0000
Ba10 0.6466 0.4533 0.2598
Ba11 0.3162 0.8313 0.0616
Ba12 0.6838 0.1687 0.9384
Ag6 0.5524 0.8895 0.7583
```

Summary:
D(E_F) = 7.68 states/eV/f.u.
Calculated formation energy = -2.0 eV/f.u.

***

# 4
# BaAgRh2

Crystalline BaAgRh2 at its relaxed geometry (GGA-PBE, the Alexandria database).

```
data_BaAgRh2
_chemical_formula_sum 'Ba1 Ag1 Rh2'
_space_group_name_H-M_alt 'P 1'
_space_group_IT_number 1
_space_group_name_Hall 'P 1'
_cell_length_a 4.6924
_cell_length_b 3.1103
_cell_length_c 5.9906
_cell_angle_alpha 80.55
_cell_angle_beta 90.00
_cell_angle_gamma 90.00
loop_
_atom_site_label
_atom_site_fract_x
_atom_site_fract_y
_atom_site_fract_z
Ba1 0.5000 0.0000 0.5000
Ag1 0.5000 0.5000 0.0000
Rh1 0.0000 0.7047 0.1837
Rh2 0.0000 0.2953 0.8163
```

Summary:
D(E_F) = 4.00 states/eV/f.u.
Calculated formation energy = 1.3 eV/f.u.

***

# 5
# BaAg2Rh2

Crystalline BaAg2Rh2 at its relaxed geometry (GGA-PBE, the Alexandria database).

```
data_BaAg2Rh2
_chemical_formula_sum 'Ba1 Ag2 Rh2'
_space_group_name_H-M_alt 'P 1'
_space_group_IT_number 1
_space_group_name_Hall 'P 1'
_cell_length_a 4.5698
_cell_length_b 4.5698
_cell_length_c 6.3031
_cell_angle_alpha 68.75
_cell_angle_beta 68.75
_cell_angle_gamma 90.00
loop_
_atom_site_label
_atom_site_fract_x
_atom_site_fract_y
_atom_site_fract_z
Ag1 0.7500 0.2500 0.5000
Ba1 0.0000 0.0000 0.0000
Ag2 0.2500 0.7500 0.5000
Rh1 0.6116 0.6116 0.7769
Rh2 0.3884 0.3884 0.2231
```

Summary:
E above lowest polymorph = 0.0 meV/atom
D(E_F) = 7.28 states/eV/f.u.
Calculated formation energy = 0.7 eV/f.u.

***

# 6
# BaAgRh2

Crystalline BaAgRh2 at its relaxed geometry (GGA-PBE, the Alexandria database).

```
data_BaAgRh2
_chemical_formula_sum 'Ba1 Ag1 Rh2'
_space_group_name_H-M_alt 'P 1'
_space_group_IT_number 1
_space_group_name_Hall 'P 1'
_cell_length_a 6.0420
_cell_length_b 6.0420
_cell_length_c 6.0420
_cell_angle_alpha 149.55
_cell_angle_beta 129.85
_cell_angle_gamma 59.81
loop_
_atom_site_label
_atom_site_fract_x
_atom_site_fract_y
_atom_site_fract_z
Rh1 0.2361 0.7361 0.5000
Ba1 0.7583 0.2583 0.5000
Ag1 0.4708 0.4708 0.0000
Rh2 0.0347 0.0347 0.0000
```

Summary:
D(E_F) = 6.10 states/eV/f.u.
Calculated formation energy = 1.3 eV/f.u.

***

# 7
# BaAgRh2

Crystalline BaAgRh2 at its relaxed geometry (GGA-PBE, the Alexandria database).

```
data_BaAgRh2
_chemical_formula_sum 'Ba1 Ag1 Rh2'
_space_group_name_H-M_alt 'P 1'
_space_group_IT_number 1
_space_group_name_Hall 'P 1'
_cell_length_a 5.1151
_cell_length_b 5.1151
_cell_length_c 3.2374
_cell_angle_alpha 90.00
_cell_angle_beta 90.00
_cell_angle_gamma 103.91
loop_
_atom_site_label
_atom_site_fract_x
_atom_site_fract_y
_atom_site_fract_z
Rh1 0.0000 0.5000 0.0000
Ba1 0.5000 0.5000 0.5000
Ag1 0.0000 0.0000 0.5000
Rh2 0.5000 0.0000 0.0000
```

Summary:
D(E_F) = 5.85 states/eV/f.u.
Calculated formation energy = 1.7 eV/f.u.

***

# 8
# BaAg2Rh2

Crystalline BaAg2Rh2 at its relaxed geometry (GGA-PBE, the Alexandria database).

```
data_BaAg2Rh2
_chemical_formula_sum 'Ba2 Ag4 Rh4'
_space_group_name_H-M_alt 'P 1'
_space_group_IT_number 1
_space_group_name_Hall 'P 1'
_cell_length_a 8.1796
_cell_length_b 8.1796
_cell_length_c 3.0242
_cell_angle_alpha 90.00
_cell_angle_beta 90.00
_cell_angle_gamma 90.00
loop_
_atom_site_label
_atom_site_fract_x
_atom_site_fract_y
_atom_site_fract_z
Ba1 0.5000 0.5000 0.0000
Ag1 0.3766 0.8766 0.0000
Rh1 0.6708 0.8292 0.5000
Ba2 0.0000 0.0000 0.0000
Ag2 0.6234 0.1234 0.0000
Rh2 0.3292 0.1708 0.5000
Ag3 0.1234 0.3766 0.0000
Rh3 0.1708 0.6708 0.5000
Rh4 0.8292 0.3292 0.5000
Ag4 0.8766 0.6234 0.0000
```

Summary:
E above lowest polymorph = 136.0 meV/atom
D(E_F) = 6.80 states/eV/f.u.
Calculated formation energy = 1.4 eV/f.u.

***

- Which formula does entry 4 have?
  BaAgRh2